Entry 1:
Ac2Pr6Sc | PBE | relaxed

The value obtained for the energy of formation is 111 meV/atom.

The space group is C2/c (No. 15) and the conventional cell measures 15.659, 10.203 and 9.328 Å, with angles of 90.00, 117.71 and 90.00 degrees. The distinct sites, in fractional coordinates, are Ac at (0.094, 0.070, 0.182), Pr at (0.079, 0.414, 0.157), Pr at (0.165, 0.255, 0.580), Pr at (0.234, 0.407, 0.976) and Sc at (0.000, 0.260, 0.750).



Entry 2:
AcPr2Sc | PBE | relaxed

The value obtained for the energy of formation is 69 meV/atom.

The space group is P4/mmm (No. 123) and the conventional cell measures 3.765, 3.765 and 9.935 Å, with angles of 90.00, 90.00 and 90.00 degrees. The distinct sites, in fractional coordinates, are Ac at (0.000, 0.000, 0.000), Pr at (0.500, 0.500, 0.279) and Sc at (0.000, 0.000, 0.500).



Entry 3:
AcPrSc2 | PBE | relaxed

The value obtained for the energy of formation is 130 meV/atom.

The space group is R-3m (No. 166, hexagonal axes) and the conventional cell measures 3.6184, 3.6184 and 33.4110 Å, with angles of 90.00, 90.00 and 120.00 degrees. The distinct sites, in fractional coordinates, are Ac at (0.0000, 0.0000, 0.0000), Pr at (0.0000, 0.0000, 0.5000) and Sc at (0.0000, 0.0000, 0.2484).



Entry 4:
Ac12Pr3Sc | PBE | relaxed

The value obtained for the energy of formation is 39 meV/atom.

The space group is P4/mmm (No. 123) and the conventional cell measures 5.511, 5.511 and 22.050 Å, with angles of 90.00, 90.00 and 90.00 degrees. The distinct sites, in fractional coordinates, are Ac at (0.000, 0.000, 0.000), Ac at (0.000, 0.000, 0.247), Ac at (0.000, 0.000, 0.500), Ac at (0.000, 0.500, 0.121), Ac at (0.000, 0.500, 0.373), Pr at (0.500, 0.500, 0.246), Pr at (0.500, 0.500, 0.500) and Sc at (0.500, 0.500, 0.000).



Per-record mass density, g/cm3: 6.77, 6.53, 6.02, 7.91
Per-record electronic total energy, eV/f.u.: -42.2, -19.7, -21.0, -69.4